PmSm4S5 after structural relaxation. Source: the Alexandria database, functional PBE.

Output
Magnetic moment   0.00 μB per formula unit
Uncorrected formation energy   -46.64 kcal/mol of atoms
E_tot   -6.45 eV per atom
SG   Immm
DOS(E_F)   0.47 states/eV/atom

Cell: 4.0149 5.6711 10.6257 Å, 105.48 100.89 90.00°
Last column: nearest neighbours and their distance in Å.
Element x y z (fractional)
Sm 0.5999 0.5999 0.1999  6 S 2.84
Sm 0.7998 0.7998 0.5995  6 S 2.83-2.84
Sm 0.4001 0.4001 0.8001  6 S 2.84
Sm 0.2002 0.2002 0.4005  6 S 2.83-2.84
S 0.8001 0.3001 0.6002  6 Sm 2.84
S 0.3992 0.8992 0.7985  4 Sm 2.83-2.84, 2 Pm 2.85
S 0.1999 0.6999 0.3998  6 Sm 2.84
S 0.0000 0.5000 0.0000  2 Pm 2.84, 4 Sm 2.84
S 0.6008 0.1008 0.2015  4 Sm 2.83-2.84, 2 Pm 2.85
Pm 0.0000 0.0000 0.0000  6 S 2.84-2.85



PmSm3S4 after structural relaxation. Source: the Alexandria database, functional PBE.

Output
Magnetic moment   0.00 μB per formula unit
Uncorrected formation energy   -46.51 kcal/mol of atoms
E_tot   -6.44 eV per atom
SG   Pm-3m
DOS(E_F)   0.53 states/eV/atom
Energy above the most stable polymorph in this dataset   7.1 meV per atom

Cell: 5.6792 5.6792 5.6792 Å, 90.00 90.00 90.00°
Last column: nearest neighbours and their distance in Å.
Element x y z (fractional)
S 0.0000 0.5000 0.0000  4 Sm 2.84, 2 Pm 2.84
S 0.5000 0.5000 0.5000  6 Sm 2.84
S 0.0000 0.0000 0.5000  2 Pm 2.84, 4 Sm 2.84
S 0.5000 0.0000 0.0000  4 Sm 2.84, 2 Pm 2.84
Sm 0.5000 0.0000 0.5000  6 S 2.84
Sm 0.0000 0.5000 0.5000  6 S 2.84
Sm 0.5000 0.5000 0.0000  6 S 2.84
Pm 0.0000 0.0000 0.0000  6 S 2.84



PmSmS2 after structural relaxation. Source: the Alexandria database, functional PBE.

Output
Magnetic moment   0.00 μB per formula unit
Uncorrected formation energy   -46.83 kcal/mol of atoms
E_tot   -6.46 eV per atom
SG   C2/m
DOS(E_F)   0.40 states/eV/atom
Energy above the most stable polymorph in this dataset   0.0 meV per atom

Cell: 4.0240 4.0240 6.9500 Å, 73.07 73.07 60.18°
Last column: nearest neighbours and their distance in Å.
Element x y z (fractional)
Sm 0.5000 0.5000 0.5000  6 S 2.83
S 0.7508 0.7508 0.7477  3 Sm 2.83, 3 Pm 2.85
S 0.2492 0.2492 0.2523  3 Sm 2.83, 3 Pm 2.85
Pm 0.0000 0.0000 0.0000  6 S 2.85



PmSm2S4 after structural relaxation. Source: the Alexandria database, functional PBE.

Output
Magnetic moment   0.00 μB per formula unit
Uncorrected formation energy   -47.18 kcal/mol of atoms
E_tot   -6.43 eV per atom
SG   Cmcm
DOS(E_F)   0.26 states/eV/atom
Energy above the most stable polymorph in this dataset   0.0 meV per atom

Cell: 3.9068 6.9286 13.3847 Å, 90.00 90.00 106.38°
Last column: nearest neighbours and their distance in Å.
Element x y z (fractional)
Sm 0.1294 0.2589 0.4300  6 S 2.76-2.87
Sm 0.8706 0.7411 0.9300  6 S 2.76-2.87
Sm 0.8706 0.7411 0.5700  6 S 2.76-2.87
Sm 0.1294 0.2589 0.0700  6 S 2.76-2.87
S 0.5000 0.0000 0.0000  4 Sm 2.77
S 0.9725 0.9450 0.7500  2 Sm 2.76, 2 Pm 2.83
S 0.2241 0.4481 0.6224  3 Sm 2.85-2.87, 2 Pm 2.90
S 0.7759 0.5519 0.1224  3 Sm 2.85-2.87, 2 Pm 2.90
S 0.7759 0.5519 0.3776  3 Sm 2.85-2.87, 2 Pm 2.90
S 0.0275 0.0550 0.2500  2 Sm 2.76, 2 Pm 2.83
S 0.5000 0.0000 0.5000  4 Sm 2.77
S 0.2241 0.4481 0.8776  3 Sm 2.85-2.87, 2 Pm 2.90
Pm 0.6260 0.2521 0.7500  6 S 2.83-2.90
Pm 0.3740 0.7479 0.2500  6 S 2.83-2.90



PmSm3S after structural relaxation. Source: the Alexandria database, functional PBE.

Output
Magnetic moment   0.00 μB per formula unit
Uncorrected formation energy   -15.51 kcal/mol of atoms
E_tot   -5.28 eV per atom
SG   Pm-3m
DOS(E_F)   1.27 states/eV/atom

Cell: 5.4454 5.4454 5.4454 Å, 90.00 90.00 90.00°
Last column: nearest neighbours and their distance in Å.
Element x y z (fractional)
Pm 0.5000 0.5000 0.5000  12 Sm 3.85
Sm 0.0000 0.0000 0.5000  2 S 2.72
Sm 0.0000 0.5000 0.0000  2 S 2.72
Sm 0.5000 0.0000 0.0000  2 S 2.72
S 0.0000 0.0000 0.0000  6 Sm 2.72



Pm4SmS6 after structural relaxation. Source: the Alexandria database, functional PBE.

Output
Magnetic moment   0.00 μB per formula unit
Uncorrected formation energy   -47.04 kcal/mol of atoms
E_tot   -6.45 eV per atom
SG   Cmcm
DOS(E_F)   0.24 states/eV/atom

Cell: 3.9402 6.9274 20.3146 Å, 90.00 90.00 106.52°
Last column: nearest neighbours and their distance in Å.
Element x y z (fractional)
S 0.2301 0.4603 0.5903  5 Pm 2.81-2.92
S 0.7699 0.5397 0.4097  5 Pm 2.81-2.92
S 0.3046 0.6093 0.2500  2 Sm 2.81, 2 Pm 2.82
S 0.2301 0.4603 0.9097  5 Pm 2.81-2.92
S 0.0521 0.1041 0.1687  3 Pm 2.85, 2 Sm 2.90
S 0.9479 0.8959 0.8313  3 Pm 2.85, 2 Sm 2.90
S 0.9479 0.8959 0.6687  3 Pm 2.85, 2 Sm 2.90
S 0.5000 0.0000 0.5000  6 Pm 2.83-2.88
S 0.6954 0.3907 0.7500  2 Sm 2.81, 2 Pm 2.82
S 0.5000 0.0000 0.0000  6 Pm 2.83-2.88
S 0.7699 0.5397 0.0903  5 Pm 2.81-2.92
S 0.0521 0.1041 0.3313  3 Pm 2.85, 2 Sm 2.90
Pm 0.4091 0.8183 0.3710  6 S 2.81-2.88
Pm 0.8606 0.7212 0.5404  6 S 2.81-2.92
Pm 0.4091 0.8183 0.1290  6 S 2.81-2.88
Pm 0.1394 0.2788 0.4596  6 S 2.81-2.92
Pm 0.1394 0.2788 0.0404  6 S 2.81-2.92
Pm 0.5909 0.1817 0.6290  6 S 2.81-2.88
Pm 0.5909 0.1817 0.8710  6 S 2.81-2.88
Pm 0.8606 0.7212 0.9596  6 S 2.81-2.92
Sm 0.3467 0.6933 0.7500  6 S 2.81-2.90
Sm 0.6533 0.3067 0.2500  6 S 2.81-2.90